First-principles (PBE) data for an optimized crystal structure of Mg2AlHg, as listed in Alexandria.

Results
energy above the lowest structure with this stoichiometry = 10 meV/atom
total DFT energy (no corrections) = -0.1383 Ry/atom
formation enthalpy at 0 K = -0.295 eV/f.u.

Lattice parameters (Å, degrees): 6.1121 8.4617 3.1480 90.00 90.00 90.00
Space group Cmmm (No. 65)
Symmetry-distinct sites (fractional):
Mg  0.2500  0.2500  0.0000 x4
Al  0.0000  0.0000  0.5000 x2
Hg  0.0000  0.5000  0.5000 x2

=====

First-principles (PBE) data for an optimized crystal structure of Mg2AlHgN, as listed in Alexandria.

Results
formation energy without anion corrections = 5.9 eV/f.u.
energy above the lowest structure with this stoichiometry = 1506 meV/atom
total DFT energy (no corrections) = -0.1422 Ry/atom

Lattice parameters (Å, degrees): 5.2642 5.2642 5.1583 90.00 90.00 90.00
Space group P4/mmm (No. 123)
Symmetry-distinct sites (fractional):
Mg  0.0000  0.5000  0.0000 x2
Al  0.0000  0.0000  0.0000 x1
Hg  0.0000  0.0000  0.5000 x1
N  0.5000  0.5000  0.5000 x1

=====

First-principles (PBE) data for an optimized crystal structure of MgAlHgN2, as listed in Alexandria.

Results
formation energy without anion corrections = 2.9 eV/f.u.
energy above the lowest structure with this stoichiometry = 0 meV/atom
total DFT energy (no corrections) = -0.2847 Ry/atom

Lattice parameters (Å, degrees): 3.8107 3.8107 5.4515 90.00 90.00 90.00
Space group P4/mmm (No. 123)
Symmetry-distinct sites (fractional):
Mg  0.0000  0.0000  0.0000 x1
Al  0.5000  0.5000  0.5000 x1
Hg  0.5000  0.5000  0.0000 x1
N  0.0000  0.5000  0.5000 x2

=====

First-principles (PBE) data for an optimized crystal structure of Mg2AlHgN, as listed in Alexandria.

Results
formation energy without anion corrections = -1.6 eV/f.u.
energy above the lowest structure with this stoichiometry = 0 meV/atom
total DFT energy (no corrections) = -0.2529 Ry/atom

Lattice parameters (Å, degrees): 4.4674 4.4674 3.8968 90.00 90.00 90.00
Space group P4/mmm (No. 123)
Symmetry-distinct sites (fractional):
Mg  0.0000  0.5000  0.0000 x2
Al  0.0000  0.0000  0.5000 x1
Hg  0.5000  0.5000  0.5000 x1
N  0.0000  0.0000  0.0000 x1

=====

First-principles (PBE) data for an optimized crystal structure of MgAlHgN2, as listed in Alexandria.

Results
formation energy without anion corrections = 9.3 eV/f.u.
energy above the lowest structure with this stoichiometry = 1278 meV/atom
total DFT energy (no corrections) = -0.1907 Ry/atom

Lattice parameters (Å, degrees): 4.3326 4.3326 5.3364 90.00 90.00 90.00
Space group P4/mmm (No. 123)
Symmetry-distinct sites (fractional):
Mg  0.0000  0.0000  0.0000 x1
Al  0.5000  0.5000  0.0000 x1
Hg  0.0000  0.0000  0.5000 x1
N  0.0000  0.5000  0.5000 x2

=====

First-principles (PBE) data for an optimized crystal structure of NaMgAlHg, as listed in Alexandria.

Results
total DFT energy (no corrections) = -0.1269 Ry/atom
formation enthalpy at 0 K = 0.052 eV/f.u.

Lattice parameters (Å, degrees): 7.0695 7.0695 7.0695 90.00 90.00 90.00
Space group F-43m (No. 216)
Symmetry-distinct sites (fractional):
Na  0.0000  0.0000  0.0000 x4
Mg  0.0000  0.0000  0.5000 x4
Al  0.2500  0.2500  0.7500 x4
Hg  0.2500  0.2500  0.2500 x4

=====

First-principles (PBE) data for an optimized crystal structure of MgNb2AlHg, as listed in Alexandria.

Results
total DFT energy (no corrections) = -0.2743 Ry/atom
formation enthalpy at 0 K = 7.116 eV/f.u.

Lattice parameters (Å, degrees): 5.1976 5.1976 4.7138 90.00 90.00 90.00
Space group P4/mmm (No. 123)
Symmetry-distinct sites (fractional):
Mg  0.0000  0.0000  0.0000 x1
Nb  0.0000  0.5000  0.5000 x2
Al  0.5000  0.5000  0.0000 x1
Hg  0.5000  0.5000  0.5000 x1

=====

First-principles (PBE) data for an optimized crystal structure of Nd2MgAl3Hg4, as listed in Alexandria.

Results
total DFT energy (no corrections) = -0.1983 Ry/atom
formation enthalpy at 0 K = -3.419 eV/f.u.

Lattice parameters (Å, degrees): 4.5056 4.5056 11.3200 90.00 90.00 90.00
Space group P-4m2 (No. 115)
Symmetry-distinct sites (fractional):
Nd  0.0000  0.5000  0.2393 x2
Mg  0.0000  0.0000  0.5000 x1
Al  0.0000  0.5000  0.8648 x2
Al  0.5000  0.5000  0.5000 x1
Hg  0.0000  0.0000  0.0000 x1
Hg  0.0000  0.5000  0.6393 x2
Hg  0.5000  0.5000  0.0000 x1

=====

Among the records above, which one has the highest total DFT energy (no corrections)? NaMgAlHg

=====

Please write out number 3 again, unchanged.
First-principles (PBE) data for an optimized crystal structure of MgAlHgN2, as listed in Alexandria.

Results
formation energy without anion corrections = 2.9 eV/f.u.
energy above the lowest structure with this stoichiometry = 0 meV/atom
total DFT energy (no corrections) = -0.2847 Ry/atom

Lattice parameters (Å, degrees): 3.8107 3.8107 5.4515 90.00 90.00 90.00
Space group P4/mmm (No. 123)
Symmetry-distinct sites (fractional):
Mg  0.0000  0.0000  0.0000 x1
Al  0.5000  0.5000  0.5000 x1
Hg  0.5000  0.5000  0.0000 x1
N  0.0000  0.5000  0.5000 x2

=====

The lowest total DFT energy (no corrections) belongs to which entry? number 3

=====

Number 3 is which compound? MgAlHgN2